# 1
{"formula": "Ni3SnB", "functional": "PBE", "state": "optimized geometry", "density_g_cm3": 8.4, "polymorph_energy_mev_per_atom": 0, "e_form_ev_per_fu": -0.87, "lattice": [[-1.476, -3.414, -1.240], [1.375, -1.764, 3.220], [-3.362, 0.777, 1.861]], "species": ["Ni", "Ni", "Ni", "B", "Sn"], "frac_coords": [[0.500, 0.000, 0.000], [0.000, 0.000, 0.500], [0.000, 0.500, 0.000], [0.000, 0.000, 0.000], [0.500, 0.500, 0.500]]}

---

# 2
{"formula": "LaCO", "functional": "PBE", "state": "optimized geometry", "density_g_cm3": 5.3, "polymorph_energy_mev_per_atom": 0, "e_form_raw_ev_per_atom": -1.922, "lattice": [[4.071, -0.003, -0.009], [2.094, 3.490, -0.009], [0.576, 0.326, 7.348]], "species": ["La", "O", "La", "C", "O", "C"], "frac_coords": [[0.682, 0.682, 0.293], [0.346, 0.346, 0.380], [0.318, 0.318, 0.707], [0.037, 0.037, 0.075], [0.654, 0.654, 0.620], [0.963, 0.963, 0.925]]}

---

# 3
{"formula": "Ni12Pt3Rh", "functional": "PBE", "state": "optimized geometry", "density_g_cm3": 11.8, "e_form_ev_per_fu": 1.16, "lattice": [[-3.699, 1.804, -0.060], [-1.100, -2.145, 3.336], [4.031, 8.488, 6.785]], "species": ["Pt", "Ni", "Ni", "Ni", "Ni", "Ni", "Ni", "Ni", "Pt", "Pt", "Ni", "Ni", "Ni", "Rh", "Ni", "Ni"], "frac_coords": [[0.000, 0.000, 0.500], [0.500, 0.500, 0.248], [0.500, 0.000, 0.878], [0.000, 0.500, 0.878], [0.500, 0.000, 0.122], [0.000, 0.500, 0.627], [0.500, 0.500, 0.752], [0.500, 0.500, 0.000], [0.000, 0.000, 0.753], [0.000, 0.000, 0.247], [0.000, 0.500, 0.122], [0.000, 0.500, 0.373], [0.500, 0.000, 0.373], [0.000, 0.000, 0.000], [0.500, 0.000, 0.627], [0.500, 0.500, 0.500]]}

---

# 4
{"formula": "Tb4Pd2Pt", "functional": "PBE", "state": "optimized geometry", "density_g_cm3": 10.1, "e_form_ev_per_fu": -5.72, "lattice": [[-2.604, -0.068, -4.181], [-3.601, -3.307, -0.605], [-7.407, 4.095, 1.644]], "species": ["Pd", "Tb", "Pt", "Tb", "Pd", "Tb", "Tb"], "frac_coords": [[0.753, 0.753, 0.741], [0.374, 0.374, 0.877], [0.000, 0.000, 0.000], [0.876, 0.876, 0.373], [0.247, 0.247, 0.259], [0.626, 0.626, 0.123], [0.124, 0.124, 0.627]]}

---

# 5
{"formula": "TlCuAs", "functional": "PBE", "state": "optimized geometry", "density_g_cm3": 8.2, "polymorph_energy_mev_per_atom": 77, "e_form_ev_per_fu": 0.23, "lattice": [[4.110, 0.000, 0.000], [-2.055, 3.559, 0.000], [0.000, 0.000, 4.738]], "species": ["Tl", "As", "Cu"], "frac_coords": [[0.333, 0.667, 0.666], [0.000, 0.000, 0.166], [0.667, 0.333, 0.168]]}

---

# 6
{"formula": "HfPt", "functional": "PBE", "state": "optimized geometry", "density_g_cm3": 16.0, "e_form_ev_per_fu": -1.78, "lattice": [[-0.762, -8.225, -1.417], [2.071, 1.192, -8.033], [4.259, -0.570, 1.014]], "species": ["Pt", "Pt", "Pt", "Pt", "Pt", "Hf", "Pt", "Hf", "Pt", "Hf", "Hf", "Hf", "Hf", "Pt", "Hf", "Hf"], "frac_coords": [[0.669, 0.331, 0.000], [0.831, 0.831, 0.500], [0.331, 0.331, 0.000], [0.669, 0.669, 0.000], [0.169, 0.831, 0.500], [0.699, 0.000, 0.000], [0.831, 0.169, 0.500], [0.301, 0.000, 0.000], [0.331, 0.669, 0.000], [0.801, 0.500, 0.500], [0.500, 0.801, 0.500], [0.000, 0.699, 0.000], [0.500, 0.199, 0.500], [0.169, 0.169, 0.500], [0.199, 0.500, 0.500], [0.000, 0.301, 0.000]]}

---

# 7
{"formula": "TbBeAlAg", "functional": "PBE", "state": "optimized geometry", "density_g_cm3": 7.0, "e_form_ev_per_fu": -0.49, "lattice": [[-3.778, 1.767, 2.108], [-4.105, -2.210, -0.324], [-1.803, -2.141, 3.742]], "species": ["Tb", "Al", "Be", "Ag"], "frac_coords": [[0.250, 0.250, 0.250], [0.750, 0.750, 0.750], [0.500, 0.500, 0.500], [0.000, 0.000, 0.000]]}

---

# 8
{"formula": "Er4TePb2Se", "functional": "PBE", "state": "optimized geometry", "density_g_cm3": 9.4, "e_form_raw_ev_per_atom": -0.953, "lattice": [[4.302, 0.000, 0.000], [0.000, 7.488, -0.159], [0.000, 2.625, 7.026]], "species": ["Er", "Pb", "Se", "Er", "Er", "Er", "Pb", "Te"], "frac_coords": [[0.500, 0.246, 0.759], [0.500, 0.000, 0.500], [0.500, 0.500, 0.000], [0.000, 0.252, 0.241], [0.000, 0.748, 0.759], [0.500, 0.754, 0.241], [0.000, 0.000, 0.000], [0.000, 0.500, 0.500]]}

---

# 9
{"formula": "ZrGe3Cl", "functional": "PBE", "state": "optimized geometry", "density_g_cm3": 5.1, "polymorph_energy_mev_per_atom": 181, "e_form_raw_ev_per_atom": 0.617, "lattice": [[4.823, 0.000, 0.000], [0.000, 4.823, 0.000], [0.000, 0.000, 4.823]], "species": ["Ge", "Ge", "Ge", "Zr", "Cl"], "frac_coords": [[0.000, 0.500, 0.000], [0.000, 0.000, 0.500], [0.500, 0.000, 0.000], [0.500, 0.500, 0.500], [0.000, 0.000, 0.000]]}

---

# 10
{"formula": "PbC", "functional": "PBE", "state": "optimized geometry", "density_g_cm3": 9.6, "polymorph_energy_mev_per_atom": 964, "e_form_ev_per_fu": 3.63, "lattice": [[3.470, 0.000, 0.000], [0.000, 6.435, 0.000], [0.000, 0.000, 6.759]], "species": ["C", "Pb", "C", "C", "Pb", "Pb", "C", "Pb"], "frac_coords": [[0.750, 0.816, 0.367], [0.750, 0.182, 0.350], [0.250, 0.316, 0.133], [0.750, 0.684, 0.867], [0.750, 0.318, 0.850], [0.250, 0.682, 0.150], [0.250, 0.184, 0.633], [0.250, 0.818, 0.650]]}

---

# 11
{"formula": "AcLa2Pr3P6", "functional": "PBE", "state": "optimized geometry", "density_g_cm3": 5.6, "e_form_ev_per_fu": -18.24, "lattice": [[7.394, -0.001, 0.001], [-3.696, 6.404, 0.001], [-1.233, -2.135, 6.979]], "species": ["Pr", "La", "Pr", "Ac", "P", "P", "P", "P", "P", "La", "Pr", "P"], "frac_coords": [[0.500, 0.500, 0.500], [0.667, 0.333, 0.000], [0.166, 0.834, 0.500], [0.000, 0.000, 0.000], [0.424, 0.085, 0.255], [0.085, 0.424, 0.255], [0.746, 0.746, 0.256], [0.915, 0.576, 0.745], [0.576, 0.915, 0.745], [0.333, 0.667, 0.000], [0.834, 0.166, 0.500], [0.254, 0.254, 0.744]]}

---

# 12
{"formula": "Sr2GaIrRu", "functional": "PBE", "state": "optimized geometry", "density_g_cm3": 6.0, "e_form_ev_per_fu": 2.15, "lattice": [[-4.299, 2.398, -2.756], [-2.051, -4.162, -0.421], [-2.678, 0.825, 4.896]], "species": ["Sr", "Sr", "Ru", "Ir", "Ga"], "frac_coords": [[0.000, 0.000, 0.500], [0.500, 0.000, 0.000], [0.000, 0.000, 0.000], [0.000, 0.500, 0.000], [0.500, 0.500, 0.500]]}

---

# 13
{"formula": "CePuIrPt", "functional": "PBE", "state": "optimized geometry", "density_g_cm3": 14.3, "polymorph_energy_mev_per_atom": 0, "e_form_ev_per_fu": -3.20, "lattice": [[3.927, 0.000, 0.000], [0.000, 4.188, 0.000], [-1.964, 0.000, 5.441]], "species": ["Pu", "Pt", "Ce", "Ir"], "frac_coords": [[0.866, 0.500, 0.732], [0.590, 0.500, 0.180], [0.143, 0.000, 0.286], [0.401, 0.000, 0.802]]}

---

# 14
{"formula": "Mn2BeRhAu", "functional": "PBE", "state": "optimized geometry", "density_g_cm3": 6.3, "e_form_ev_per_fu": 6.10, "lattice": [[4.677, 0.000, 0.000], [0.000, 5.073, 0.000], [0.000, 0.000, 4.677]], "species": ["Rh", "Au", "Mn", "Be", "Mn"], "frac_coords": [[0.000, 0.000, 0.000], [0.000, 0.500, 0.000], [0.500, 0.000, 0.000], [0.500, 0.500, 0.500], [0.000, 0.000, 0.500]]}

---

# 15
{"formula": "Pm2Al5Cu5", "functional": "PBE", "state": "optimized geometry", "density_g_cm3": 6.1, "e_form_ev_per_fu": -5.27, "lattice": [[-1.461, 1.079, 3.730], [-4.592, -2.497, -1.077], [3.365, -7.720, 3.551]], "species": ["Cu", "Al", "Al", "Cu", "Al", "Pm", "Cu", "Cu", "Al", "Pm", "Al", "Cu"], "frac_coords": [[0.000, 0.000, 0.165], [0.500, 0.751, 0.761], [0.500, 0.249, 0.239], [0.500, 0.000, 0.000], [0.500, 0.751, 0.239], [0.000, 0.000, 0.500], [0.000, 0.000, 0.835], [0.000, 0.500, 0.332], [0.500, 0.500, 0.500], [0.000, 0.500, 0.000], [0.500, 0.249, 0.761], [0.000, 0.500, 0.668]]}

---

# 16
{"formula": "CdIn2Re", "functional": "PBE", "state": "optimized geometry", "density_g_cm3": 11.2, "e_form_ev_per_fu": 2.07, "lattice": [[5.301, 0.005, 0.003], [1.923, 4.939, -0.003], [-3.612, -2.472, 2.990]], "species": ["Re", "In", "Cd", "In"], "frac_coords": [[0.750, 0.250, 0.500], [0.000, 0.000, 0.000], [0.250, 0.750, 0.500], [0.500, 0.500, 0.000]]}

---

# 17
{"formula": "CS", "functional": "PBE", "state": "optimized geometry", "density_g_cm3": 2.2, "polymorph_energy_mev_per_atom": 123, "e_form_raw_ev_per_atom": 1.347, "lattice": [[2.710, 0.063, -0.301], [-0.012, 3.725, 0.000], [-1.064, -1.803, 3.356]], "species": ["S", "C"], "frac_coords": [[0.293, 0.341, 0.990], [0.847, 0.643, 0.105]]}

---

# 18
{"formula": "K3U3TcS8", "functional": "PBE", "state": "optimized geometry", "density_g_cm3": 5.1, "e_form_raw_ev_per_atom": -1.230, "lattice": [[-4.758, 3.881, 4.398], [5.901, -3.583, 3.061], [1.994, 7.461, -4.428]], "species": ["S", "S", "Tc", "K", "S", "S", "K", "U", "S", "S", "K", "S", "U", "S", "U"], "frac_coords": [[0.752, 0.972, 0.693], [0.779, 0.559, 0.307], [0.000, 0.000, 0.500], [0.500, 0.500, 0.000], [0.779, 0.028, 0.307], [0.221, 0.441, 0.693], [0.000, 0.000, 0.000], [0.500, 0.500, 0.500], [0.221, 0.972, 0.693], [0.263, 0.526, 0.289], [0.000, 0.500, 0.000], [0.248, 0.028, 0.307], [0.000, 0.500, 0.500], [0.737, 0.474, 0.711], [0.500, 0.000, 0.500]]}

---

# 19
{"formula": "U5P5S", "functional": "PBE", "state": "optimized geometry", "density_g_cm3": 9.0, "e_form_raw_ev_per_atom": -0.828, "lattice": [[-2.398, 0.860, 4.864], [-1.476, -6.034, -2.759], [6.909, -0.780, 3.543]], "species": ["U", "U", "P", "P", "U", "U", "P", "P", "S", "U", "P"], "frac_coords": [[0.161, 0.323, 0.827], [0.500, 0.000, 0.000], [0.668, 0.337, 0.333], [0.000, 0.000, 0.500], [0.166, 0.332, 0.336], [0.839, 0.677, 0.173], [0.331, 0.661, 0.162], [0.332, 0.663, 0.667], [0.000, 0.000, 0.000], [0.834, 0.668, 0.664], [0.669, 0.339, 0.838]]}

---

# 20
{"formula": "CaAlAg2", "functional": "PBE", "state": "optimized geometry", "density_g_cm3": 5.6, "e_form_ev_per_fu": -0.50, "lattice": [[-0.931, 3.481, 1.442], [-0.607, -1.900, 4.193], [4.467, 0.780, 1.000]], "species": ["Ca", "Al", "Ag", "Ag"], "frac_coords": [[0.500, 0.000, 0.000], [0.500, 0.500, 0.500], [0.000, 0.500, 0.000], [0.000, 0.000, 0.500]]}

---

# 21
{"formula": "Ce5Si2Ni", "functional": "PBE", "state": "optimized geometry", "density_g_cm3": 7.9, "e_form_raw_ev_per_atom": -0.352, "lattice": [[-0.122, -4.077, -2.955], [1.157, -4.521, 1.896], [-7.170, -4.002, 1.525]], "species": ["Si", "Si", "Ni", "Ce", "Ce", "Ce", "Ce", "Ce"], "frac_coords": [[0.103, 0.103, 0.692], [0.897, 0.897, 0.308], [0.000, 0.000, 0.000], [0.373, 0.373, 0.880], [0.500, 0.500, 0.500], [0.627, 0.627, 0.120], [0.762, 0.762, 0.715], [0.238, 0.238, 0.285]]}

---

# 22
{"formula": "SbP2Ir", "functional": "PBE", "state": "optimized geometry", "density_g_cm3": 8.4, "e_form_raw_ev_per_atom": 0.233, "lattice": [[3.137, 0.000, 0.000], [0.000, 2.913, 0.000], [0.000, 0.000, 8.162]], "species": ["Ir", "P", "P", "Sb"], "frac_coords": [[0.500, 0.500, 0.750], [0.000, 0.000, 0.923], [0.000, 0.000, 0.577], [0.500, 0.500, 0.250]]}

---

# 23
{"formula": "Ta2Sb2Ir", "functional": "PBE", "state": "optimized geometry", "density_g_cm3": 12.4, "e_form_raw_ev_per_atom": 0.709, "lattice": [[3.411, 6.238, 2.351], [-1.089, 7.377, -0.683], [-2.714, -6.824, 1.463]], "species": ["Ta", "Sb", "Sb", "Ir", "Ta"], "frac_coords": [[0.590, 0.590, 0.000], [0.750, 0.250, 0.500], [0.250, 0.750, 0.500], [0.000, 0.000, 0.000], [0.410, 0.410, 0.000]]}